[1]
This record from Alexandria describes a relaxed Tm5Sc2 crystal. The functional is GGA-PBE.

The structure in POSCAR format:
```
Tm5Sc2
1.0
7.5366 -3.0182 0.0000
7.5366 3.0182 0.0000
-0.9498 0.0000 8.7943
Tm Sc
10 4
Direct
0.0313 0.6907 0.0377
0.1198 0.4491 0.6780
0.1713 0.8287 0.7500
0.3093 0.9687 0.4623
0.4491 0.1198 0.1780
0.5509 0.8802 0.8220
0.6907 0.0313 0.5377
0.8287 0.1713 0.2500
0.8802 0.5509 0.3220
0.9687 0.3093 0.9623
0.2655 0.5942 0.3932
0.4058 0.7345 0.1068
0.5942 0.2655 0.8932
0.7345 0.4058 0.6068
```

Values from the calculation:
Space group: C2/c, No. 15
Theoretical density, g/cm3: 7.76
Calculated volume, Å³/f.u.: 200

---

[2]
This record from Alexandria describes a relaxed Tm2Sc5 crystal. The functional is GGA-PBE.

The structure in POSCAR format:
```
Tm2Sc5
1.0
2.6430 1.5259 7.6053
-2.6430 1.5259 7.6053
0.0000 -3.0518 7.6053
Tm Sc
2 5
Direct
0.1389 0.1389 0.1389
0.8611 0.8611 0.8611
0.0000 0.0000 0.0000
0.2886 0.2886 0.2886
0.4268 0.4268 0.4268
0.5732 0.5732 0.5732
0.7114 0.7114 0.7114
```

Values from the calculation:
Space group: R-3m, No. 166
Theoretical density, g/cm3: 5.08
Calculated volume, Å³/f.u.: 184

---

[3]
This record from Alexandria describes a relaxed Tm2Sc7 crystal. The functional is GGA-PBE.

The structure in POSCAR format:
```
Tm2Sc7
1.0
5.7296 0.0000 0.0000
-2.8648 4.9619 0.0000
0.0000 0.0000 8.1144
Tm Sc
2 7
Direct
0.3333 0.6667 0.0000
0.6667 0.3333 0.0000
0.0000 0.0000 0.0000
0.0000 0.3312 0.6613
0.0000 0.6688 0.3387
0.3312 0.0000 0.6613
0.3312 0.3312 0.3387
0.6688 0.0000 0.3387
0.6688 0.6688 0.6613
```

Values from the calculation:
Space group: P-31m, No. 162
Theoretical density, g/cm3: 4.70
Calculated volume, Å³/f.u.: 231

---

Number 1: ΔH_f (0 K) 5 kJ/mol of formula units, size of the total moment 0.00 μB per atom. Number 2: ΔH_f (0 K) 84 kJ/mol of formula units, size of the total moment 0.00 μB per atom. Number 3: ΔH_f (0 K) 46 kJ/mol of formula units, size of the total moment 0.00 μB per atom.